Record 1
Compound: CaTmPd
Source: the Alexandria database
Functional: PBE
Structure: relaxed

Cell and atoms, written as extended XYZ:
```
3
Lattice="0.000 3.457 3.457 3.457 0.000 3.457 3.457 3.457 0.000" Properties=species:S:1:pos:R:3 pbc="T T T"
Ca 0.000 0.000 0.000
Tm 3.457 3.457 3.457
Pd 1.729 1.729 1.729
```

Output
**Energy relative to the elements**: -0.45 eV/atom
**Energy**: -13.0 eV/cell
**SG**: F-43m (216)
**ΔE to the lowest computed polymorph**: 0.32 eV per formula unit

Record 2
Compound: CeHo4Er7
Source: the Alexandria database
Functional: PBE
Structure: relaxed

Cell and atoms, written as extended XYZ:
```
12
Lattice="6.138 0.000 0.000 0.001 7.086 0.000 2.052 0.002 8.484" Properties=species:S:1:pos:R:3 pbc="T T T"
Ce 0.000 0.000 0.000
Ho 2.051 3.544 2.853
Ho 3.065 1.764 5.656
Ho 5.125 5.324 2.828
Ho 6.139 3.544 5.631
Er 0.000 3.543 0.000
Er 2.032 7.087 2.821
Er 3.064 5.324 5.658
Er 3.071 1.753 0.001
Er 5.119 5.335 8.483
Er 5.126 1.764 2.826
Er 6.158 0.001 5.664
```

Output
**Energy relative to the elements**: 0.01 eV/atom
**Energy**: -56.0 eV/cell
**SG**: P-1 (2)
**ΔE to the lowest computed polymorph**: 0.00 eV per formula unit

Record 3
Compound: BaYOs3
Source: the Alexandria database
Functional: PBE
Structure: relaxed

Cell and atoms, written as extended XYZ:
```
5
Lattice="5.010 0.000 0.000 0.000 5.010 0.000 0.000 0.000 5.010" Properties=species:S:1:pos:R:3 pbc="T T T"
Ba 0.000 0.000 0.000
Y 2.505 2.505 2.505
Os 0.000 0.000 2.505
Os 0.000 2.505 0.000
Os 2.505 0.000 0.000
```

Output
**Energy relative to the elements**: 2.77 eV/atom
**Energy**: -28.2 eV/cell
**SG**: Pm-3m (221)
**ΔE to the lowest computed polymorph**: 3.16 eV per formula unit

Record 4
Compound: Rb3U2AgS6
Source: the Alexandria database
Functional: PBE
Structure: relaxed

Cell and atoms, written as extended XYZ:
```
12
Lattice="3.534 -6.139 0.000 3.534 6.139 0.000 -2.321 0.000 7.668" Properties=species:S:1:pos:R:3 pbc="T T T"
Rb 0.000 0.000 0.000
Rb 3.534 1.926 0.000
Rb 3.534 -1.926 0.000
U 2.374 4.085 3.834
U 2.374 -4.085 3.834
Ag 2.374 0.000 3.834
S 1.108 2.196 2.337
S -0.114 0.000 5.286
S 1.108 -2.196 2.337
S 3.640 2.196 5.331
S 4.861 0.000 2.382
S 3.640 -2.196 5.331
```

Output
**ΔE_f (raw)**: -1.20 eV per atom
**Energy**: -67.5 eV/cell
**SG**: C2/m (12)

Record 5
Compound: CaB3I
Source: the Alexandria database
Functional: PBE
Structure: relaxed

Cell and atoms, written as extended XYZ:
```
5
Lattice="5.149 0.000 0.000 0.000 5.149 0.000 0.000 0.000 5.149" Properties=species:S:1:pos:R:3 pbc="T T T"
Ca 0.000 0.000 0.000
B 0.000 0.000 2.574
B 0.000 2.574 0.000
B 2.574 0.000 0.000
I 2.574 2.574 2.574
```

Output
**ΔE_f (raw)**: 2.48 eV per atom
**Energy**: -11.2 eV/cell
**SG**: Pm-3m (221)
**ΔE to the lowest computed polymorph**: 2.30 eV per formula unit

Record 6
Compound: LiAgPd
Source: the Alexandria database
Functional: PBE
Structure: relaxed

Cell and atoms, written as extended XYZ:
```
12
Lattice="0.000 5.227 7.444 2.639 0.000 7.444 2.639 5.227 0.000" Properties=species:S:1:pos:R:3 pbc="T T T"
Li 3.332 3.920 5.583
Li 4.652 6.533 9.305
Li 0.626 3.920 5.583
Li 1.945 6.533 9.305
Ag 1.979 3.920 1.284
Ag 3.298 6.533 5.006
Ag 1.979 3.920 9.882
Ag 3.298 6.533 13.603
Pd 2.639 2.613 3.722
Pd 1.319 5.227 3.722
Pd 1.319 2.613 7.444
Pd 2.639 5.227 7.444
```

Output
**Energy relative to the elements**: -0.04 eV/atom
**Energy**: -40.3 eV/cell
**SG**: Fddd (70)
**ΔE to the lowest computed polymorph**: 0.68 eV per formula unit